No. 1
! Dy5Si10Ir4 | OQMD | PBE | relaxed; values from VASP
! **Total energy**: -6.820 eV/atom
&SYSTEM
  ibrav = 0, nat = 38, ntyp = 3
/
ATOMIC_SPECIES
Dy 162.50 Dy.upf
Si 28.09 Si.upf
Ir 192.22 Ir.upf
ATOMIC_POSITIONS crystal
Dy 0.000 0.000 0.000
Dy 0.115 0.385 0.500
Dy 0.175 0.675 0.500
Dy 0.325 0.175 0.500
Dy 0.385 0.885 0.500
Dy 0.500 0.500 0.000
Dy 0.615 0.115 0.500
Dy 0.675 0.825 0.500
Dy 0.825 0.325 0.500
Dy 0.885 0.615 0.500
Si 0.001 0.843 0.500
Si 0.066 0.566 0.000
Si 0.157 0.001 0.500
Si 0.164 0.201 0.000
Si 0.201 0.836 0.000
Si 0.299 0.336 0.000
Si 0.336 0.701 0.000
Si 0.343 0.501 0.500
Si 0.434 0.066 0.000
Si 0.499 0.343 0.500
Si 0.501 0.657 0.500
Si 0.566 0.934 0.000
Si 0.657 0.499 0.500
Si 0.664 0.299 0.000
Si 0.701 0.664 0.000
Si 0.799 0.164 0.000
Si 0.836 0.799 0.000
Si 0.843 0.999 0.500
Si 0.934 0.434 0.000
Si 0.999 0.157 0.500
Ir 0.020 0.755 0.000
Ir 0.245 0.020 0.000
Ir 0.255 0.520 0.000
Ir 0.480 0.255 0.000
Ir 0.520 0.745 0.000
Ir 0.745 0.480 0.000
Ir 0.755 0.980 0.000
Ir 0.980 0.245 0.000
CELL_PARAMETERS angstrom
12.650 0.000 0.000
0.000 12.650 0.000
0.000 0.000 4.266



No. 2
! NbRe2Ge2 | OQMD | PBE | relaxed; values from VASP
! **Total energy**: -8.405 eV/atom
&SYSTEM
  ibrav = 0, nat = 10, ntyp = 3
/
ATOMIC_SPECIES
Nb 92.91 Nb.upf
Re 186.21 Re.upf
Ge 72.64 Ge.upf
ATOMIC_POSITIONS crystal
Nb 0.000 0.000 0.000
Nb 0.500 0.500 0.500
Re 0.000 0.500 0.250
Re 0.000 0.500 0.750
Re 0.500 0.000 0.250
Re 0.500 0.000 0.750
Ge 0.000 0.000 0.389
Ge 0.000 0.000 0.611
Ge 0.500 0.500 0.111
Ge 0.500 0.500 0.889
CELL_PARAMETERS angstrom
4.001 0.000 0.000
0.000 4.001 0.000
0.000 0.000 10.486